(1)
# BaReBi2O8

An optimized crystal structure of BaReBi2O8 (PBE, the Alexandria database).

Summary:
E: -6.65 eV/atom
uncorrected formation energy: -1.50 eV per atom

```
BaReBi2O8
1.0
5.322 0.000 0.000
0.482 5.304 0.000
0.510 0.466 7.218
Ba Re Bi O
1 1 2 8
direct
0.000 0.000 0.000
0.000 0.000 0.500
0.478 0.478 0.248
0.522 0.522 0.752
0.182 0.810 0.311
0.191 0.820 0.688
0.240 0.242 0.471
0.332 0.333 0.012
0.668 0.667 0.988
0.760 0.758 0.529
0.809 0.180 0.312
0.818 0.190 0.689
```

(2)
# Hf2VCuAs

An optimized crystal structure of Hf2VCuAs (PBE, the Alexandria database).

Summary:
formation energy: 0.61 eV/atom
energy relative to the lowest polymorph listed for this composition: 0.000 eV/atom
E: -6.95 eV/atom

```
Hf2VCuAs
1.0
4.972 0.000 0.000
0.000 4.972 0.000
0.000 0.000 4.267
Hf V Cu As
2 1 1 1
direct
0.000 0.500 0.000
0.500 0.000 0.000
0.000 0.000 0.500
0.500 0.500 0.500
0.500 0.500 0.000
```

(3)
# AcTbEr2

An optimized crystal structure of AcTbEr2 (PBE, the Alexandria database).

Summary:
formation energy: 0.07 eV/atom
energy relative to the lowest polymorph listed for this composition: 0.012 eV/atom
E: -4.39 eV/atom

```
AcTbEr2
1.0
3.667 0.000 0.000
-1.833 3.175 0.000
0.000 0.000 35.242
Ac Tb Er
3 3 6
direct
0.000 0.000 0.000
0.333 0.667 0.667
0.667 0.333 0.333
0.000 0.000 0.166
0.333 0.667 0.833
0.667 0.333 0.499
0.000 0.000 0.579
0.000 0.000 0.753
0.333 0.667 0.246
0.333 0.667 0.420
0.667 0.333 0.087
0.667 0.333 0.912
```

(4)
# TaCuIr

An optimized crystal structure of TaCuIr (PBE, the Alexandria database).

Summary:
formation energy: -0.35 eV/atom
energy relative to the lowest polymorph listed for this composition: 0.000 eV/atom
E: -8.62 eV/atom

```
TaCuIr
1.0
2.867 0.000 0.000
0.000 3.784 0.000
0.000 0.000 8.236
Ta Cu Ir
2 2 2
direct
0.000 0.000 0.000
0.500 0.500 0.500
0.000 0.000 0.670
0.500 0.500 0.170
0.000 0.000 0.332
0.500 0.500 0.832
```

(5)
# SmTm2Si

An optimized crystal structure of SmTm2Si (PBE, the Alexandria database).

Summary:
E: -4.93 eV/atom
uncorrected formation energy: -0.16 eV per atom

```
SmTm2Si
1.0
3.620 0.000 0.000
-1.810 3.135 0.000
0.000 0.000 29.556
Sm Tm Si
3 6 3
direct
0.000 0.000 0.000
0.333 0.667 0.667
0.667 0.333 0.333
0.000 0.000 0.231
0.000 0.000 0.769
0.333 0.667 0.435
0.333 0.667 0.898
0.667 0.333 0.102
0.667 0.333 0.565
0.000 0.000 0.500
0.333 0.667 0.167
0.667 0.333 0.833
```

(6)
# Re2HgSe

An optimized crystal structure of Re2HgSe (PBE, the Alexandria database).

Summary:
energy relative to the lowest polymorph listed for this composition: 0.798 eV/atom
E: -6.05 eV/atom
uncorrected formation energy: 1.12 eV per atom

```
Re2HgSe
1.0
6.399 0.000 0.000
0.000 6.399 0.000
0.000 0.000 6.399
Re Hg Se
8 4 4
direct
0.250 0.250 0.250
0.250 0.250 0.750
0.250 0.750 0.250
0.250 0.750 0.750
0.750 0.250 0.250
0.750 0.250 0.750
0.750 0.750 0.250
0.750 0.750 0.750
0.000 0.000 0.000
0.000 0.500 0.500
0.500 0.000 0.500
0.500 0.500 0.000
0.000 0.000 0.500
0.000 0.500 0.000
0.500 0.000 0.000
0.500 0.500 0.500
```

(7)
# CoReCl2

An optimized crystal structure of CoReCl2 (PBE, the Alexandria database).

Summary:
energy relative to the lowest polymorph listed for this composition: 0.238 eV/atom
E: -5.48 eV/atom
uncorrected formation energy: 0.33 eV per atom

```
CoReCl2
1.0
13.947 0.000 0.000
0.000 2.948 0.000
-0.664 0.000 4.189
Co Re Cl
2 2 4
direct
0.000 0.000 0.000
0.500 0.500 0.000
0.000 0.500 0.500
0.500 0.000 0.500
0.137 0.000 0.689
0.363 0.500 0.311
0.637 0.500 0.689
0.863 0.000 0.311
```

(8)
# Pm7Y3Ho

An optimized crystal structure of Pm7Y3Ho (PBE, the Alexandria database).

Summary:
formation energy: 0.24 eV/atom
energy relative to the lowest polymorph listed for this composition: 0.052 eV/atom
E: -4.97 eV/atom

```
Pm7Y3Ho
1.0
6.417 -5.663 0.000
6.417 5.663 0.000
-2.703 0.000 5.240
Pm Y Ho
7 3 1
direct
0.000 0.000 0.000
0.096 0.516 0.306
0.288 0.288 0.790
0.484 0.904 0.694
0.516 0.096 0.306
0.712 0.712 0.210
0.904 0.484 0.694
0.296 0.704 0.000
0.500 0.500 0.500
0.704 0.296 0.000
0.000 0.000 0.500
```

(9)
# YGaTeO6

An optimized crystal structure of YGaTeO6 (PBE, the Alexandria database).

Summary:
E: -6.73 eV/atom
uncorrected formation energy: -2.02 eV per atom

```
YGaTeO6
1.0
5.167 0.000 0.000
-2.583 4.474 0.000
0.000 0.000 9.873
Y Ga Te O
2 2 2 12
direct
0.000 0.000 0.000
0.000 0.000 0.500
0.333 0.667 0.250
0.667 0.333 0.750
0.333 0.667 0.750
0.667 0.333 0.250
0.009 0.366 0.640
0.009 0.642 0.860
0.358 0.366 0.860
0.358 0.991 0.640
0.366 0.009 0.140
0.366 0.358 0.360
0.634 0.642 0.640
0.634 0.991 0.860
0.642 0.009 0.360
0.642 0.634 0.140
0.991 0.358 0.140
0.991 0.634 0.360
```

(10)
# CrFe2Ge

An optimized crystal structure of CrFe2Ge (PBE, the Alexandria database).

Summary:
formation energy: 0.09 eV/atom
E: -7.70 eV/atom

```
CrFe2Ge
1.0
2.748 0.000 0.000
0.000 2.748 0.000
0.000 0.000 6.059
Cr Fe Ge
1 2 1
direct
0.000 0.000 0.000
0.500 0.500 0.255
0.500 0.500 0.745
0.000 0.000 0.500
```

(11)
# LaBe2Os2

An optimized crystal structure of LaBe2Os2 (PBE, the Alexandria database).

Summary:
formation energy: 0.00 eV/atom
energy relative to the lowest polymorph listed for this composition: 0.000 eV/atom
E: -6.97 eV/atom

```
LaBe2Os2
1.0
4.193 0.000 0.000
0.000 4.193 0.000
0.000 0.000 9.312
La Be Os
2 4 4
direct
0.000 0.000 0.000
0.500 0.500 0.500
0.000 0.500 0.250
0.000 0.500 0.750
0.500 0.000 0.250
0.500 0.000 0.750
0.000 0.000 0.370
0.000 0.000 0.630
0.500 0.500 0.130
0.500 0.500 0.870
```

(12)
# Y2PaWN6

An optimized crystal structure of Y2PaWN6 (PBE, the Alexandria database).

Summary:
E: -9.59 eV/atom
uncorrected formation energy: -1.06 eV per atom

```
Y2PaWN6
1.0
2.885 1.666 4.845
-2.885 1.666 4.845
0.000 -3.332 4.845
Y Pa W N
2 1 1 6
direct
0.000 0.000 0.000
0.496 0.496 0.496
0.727 0.727 0.727
0.228 0.228 0.228
0.085 0.868 0.420
0.356 0.548 0.960
0.420 0.085 0.868
0.548 0.960 0.356
0.868 0.420 0.085
0.960 0.356 0.548
```